Entry 1:
Material: MgCu2Os
Method: DFT, PBE-GGA
State: relaxed

abc: 2.9088 4.4373 8.7949
angles: 90.00 90.00 90.00
Closest atoms and distances in Å follow each position.
Space group Cmmm (No. 65)
Unique sites:
Mg (0.0000, 0.0000, 0.0000) x2  4 Cu 2.65, 6 Mg 2.65-2.91
Cu (0.0000, 0.5000, 0.2516) x4  2 Os 2.62, 2 Mg 2.65, 6 Cu 2.65-2.91
Os (0.0000, 0.0000, 0.5000) x2  4 Cu 2.62, 6 Os 2.65-2.91

theoretical density: 9.99 g cm⁻³
ΔH_f (0 K): 0.32 eV/atom
N(E_F): 0.622 states/eV/atom



Entry 2:
Material: MgCuOs4
Method: DFT, PBE-GGA
State: relaxed

abc: 7.2944 7.2944 7.2944
angles: 90.00 90.00 90.00
Closest atoms and distances in Å follow each position.
Space group F-43m (No. 216)
Unique sites:
Mg (0.0000, 0.0000, 0.0000) x4  12 Os 3.02, 4 Cu 3.16
Cu (0.2500, 0.2500, 0.2500) x4  12 Os 3.02, 4 Mg 3.16
Os (0.1248, 0.1248, 0.6248) x16  6 Os 2.58

theoretical density: 14.53 g cm⁻³
ΔH_f (0 K): 0.60 eV/atom
N(E_F): 1.239 states/eV/atom



Entry 3:
Material: MgCuOs2
Method: DFT, PBE-GGA
State: relaxed

abc: 2.6968 4.5024 4.8286
angles: 90.00 96.43 90.00
Closest atoms and distances in Å follow each position.
Space group P2/m (No. 10)
Unique sites:
Mg (0.0000, 0.0000, 0.0000) x1  4 Cu 2.63-2.89, 2 Mg 2.70, 4 Os 2.74
Cu (0.5000, 0.0000, 0.5000) x1  4 Os 2.62, 4 Mg 2.63-2.89, 2 Cu 2.70
Os (0.2944, 0.5000, 0.7401) x2  2 Cu 2.62, 5 Os 2.63-2.70, 2 Mg 2.74

theoretical density: 13.35 g cm⁻³
ΔH_f (0 K): 0.32 eV/atom
N(E_F): 0.757 states/eV/atom



Entry 4:
Material: MgCu2Os
Method: DFT, PBE-GGA
State: relaxed

abc: 2.6315 3.9524 5.3811
angles: 90.00 90.42 90.00
Closest atoms and distances in Å follow each position.
Space group P2/m (No. 10)
Unique sites:
Mg (0.0000, 0.0000, 0.0000) x1  2 Mg 2.63, 2 Os 2.69, 8 Cu 2.77-2.78
Cu (0.4988, 0.5000, 0.2660) x2  3 Cu 2.52-2.63, 4 Os 2.68-2.69, 4 Mg 2.77-2.78
Os (0.0000, 0.0000, 0.5000) x1  2 Os 2.63, 8 Cu 2.68-2.69, 2 Mg 2.69

theoretical density: 10.14 g cm⁻³
ΔH_f (0 K): 0.22 eV/atom
N(E_F): 0.627 states/eV/atom



Entry 5:
Material: MgCu2Os
Method: DFT, PBE-GGA
State: relaxed

abc: 2.7217 2.7217 7.5536
angles: 90.00 90.00 90.00
Closest atoms and distances in Å follow each position.
Space group P4mm (No. 99)
Unique sites:
Mg (0.0000, 0.0000, 0.0000) x1  4 Mg 2.72, 4 Cu 2.78, 4 Os 2.83
Cu (0.0000, 0.0000, 0.5131) x1  8 Cu 2.55-2.72, 4 Os 2.64
Cu (0.5000, 0.5000, 0.7344) x1  8 Cu 2.55-2.72, 4 Mg 2.78
Os (0.5000, 0.5000, 0.2743) x1  4 Cu 2.64, 4 Os 2.72, 4 Mg 2.83

theoretical density: 10.14 g cm⁻³
ΔH_f (0 K): 0.23 eV/atom
N(E_F): 0.901 states/eV/atom



Entry 6:
Material: MgCuOs
Method: DFT, PBE-GGA
State: relaxed

abc: 5.8464 5.8464 5.8464
angles: 90.00 90.00 90.00
Closest atoms and distances in Å follow each position.
Space group F-43m (No. 216)
Unique sites:
Mg (0.0000, 0.0000, 0.0000) x4  4 Cu 2.53
Cu (0.2500, 0.2500, 0.7500) x4  4 Os 2.53, 4 Mg 2.53
Os (0.0000, 0.0000, 0.5000) x4  4 Cu 2.53

theoretical density: 9.24 g cm⁻³
ΔH_f (0 K): 0.78 eV/atom
N(E_F): 1.530 states/eV/atom



Entry 7:
Material: MgCu4Os
Method: DFT, PBE-GGA
State: relaxed

abc: 6.8178 6.8178 6.8178
angles: 90.00 90.00 90.00
Closest atoms and distances in Å follow each position.
Space group F-43m (No. 216)
Unique sites:
Mg (0.0000, 0.0000, 0.0000) x4  12 Cu 2.83, 4 Os 2.95
Cu (0.1248, 0.1248, 0.3752) x16  6 Cu 2.41
Os (0.2500, 0.2500, 0.7500) x4  12 Cu 2.83, 4 Mg 2.95

theoretical density: 9.82 g cm⁻³
ΔH_f (0 K): 0.19 eV/atom
N(E_F): 0.640 states/eV/atom



Entry 8:
Material: Mg2CuOs
Method: DFT, PBE-GGA
State: relaxed

abc: 2.7214 4.6263 4.9492
angles: 90.00 90.00 90.00
Closest atoms and distances in Å follow each position.
Space group Pmm2 (No. 25)
Unique sites:
Mg (0.0000, 0.0000, 0.0000) x1  4 Cu 2.70-2.95, 4 Mg 2.72-2.90, 4 Os 2.79
Mg (0.0000, 0.5000, 0.3550) x1  4 Mg 2.72-2.90, 4 Os 2.78-2.87, 4 Cu 2.82
Cu (0.5000, 0.0000, 0.5281) x1  8 Mg 2.70-2.95, 2 Cu 2.72, 2 Os 2.79
Os (0.5000, 0.5000, 0.8446) x1  2 Os 2.72, 8 Mg 2.78-2.87, 2 Cu 2.79

theoretical density: 8.06 g cm⁻³
ΔH_f (0 K): 0.14 eV/atom
N(E_F): 0.716 states/eV/atom